Er3TmSc2As2Os | GGA-PBE | optimized geometry

abc: 4.090 7.591 7.591
angles: 119.92 90.00 90.00
Positions (direct):
Sc (0.500, 0.001, 0.760)
Sc (0.500, 0.760, 0.001)
Tm (0.500, 0.239, 0.239)
As (0.500, 0.673, 0.335)
As (0.500, 0.335, 0.673)
Er (0.000, 0.600, 0.600)
Er (0.000, 0.998, 0.408)
Er (0.000, 0.408, 0.998)
Os (0.000, 0.986, 0.986)

## Properties
Calculated volume in Å³ per atom: 22.70
E in eV per atom: -6.53